1.
{"formula": "Y2VFe2", "functional": "PBE", "state": "optimized geometry", "cell": [[6.406, 0.000, 0.000], [0.000, 6.406, 0.000], [0.000, 0.000, 4.584]], "species": ["Y", "Y", "Y", "Y", "V", "V", "Fe", "Fe", "Fe", "Fe"], "fractional_positions": [[0.180, 0.320, 0.000], [0.320, 0.820, 0.000], [0.680, 0.180, 0.000], [0.820, 0.680, 0.000], [0.000, 0.000, 0.500], [0.500, 0.500, 0.500], [0.126, 0.626, 0.500], [0.374, 0.126, 0.500], [0.626, 0.874, 0.500], [0.874, 0.374, 0.500]], "spacegroup": "P4/mbm", "total_magnetization_mub_per_fu": 0.7, "energy_ev_per_cell": -76.64, "formation_enthalpy_0k_ev_per_atom": 0.13, "dos_ef_per_ev_cell": 13.215}

---

2.
{"formula": "Y2V2Fe15", "functional": "PBE", "state": "optimized geometry", "cell": [[4.193, 2.421, 4.168], [-4.193, 2.421, 4.168], [0.000, -4.841, 4.168]], "species": ["Y", "Y", "V", "V", "Fe", "Fe", "Fe", "Fe", "Fe", "Fe", "Fe", "Fe", "Fe", "Fe", "Fe", "Fe", "Fe", "Fe", "Fe"], "fractional_positions": [[0.154, 0.154, 0.154], [0.846, 0.846, 0.846], [0.404, 0.404, 0.404], [0.596, 0.596, 0.596], [0.000, 0.500, 0.500], [0.160, 0.160, 0.657], [0.160, 0.657, 0.160], [0.198, 0.500, 0.802], [0.198, 0.802, 0.500], [0.343, 0.840, 0.840], [0.500, 0.000, 0.500], [0.500, 0.198, 0.802], [0.500, 0.500, 0.000], [0.500, 0.802, 0.198], [0.657, 0.160, 0.160], [0.802, 0.198, 0.500], [0.802, 0.500, 0.198], [0.840, 0.343, 0.840], [0.840, 0.840, 0.343]], "spacegroup": "R-3m", "total_magnetization_mub_per_fu": 27.8, "energy_ev_per_cell": -159.03, "formation_enthalpy_0k_ev_per_atom": -0.05, "dos_ef_per_ev_cell": 21.088}

---

3.
{"formula": "YV2Fe9", "functional": "PBE", "state": "optimized geometry", "cell": [[2.422, 1.398, 7.774], [-2.422, 1.398, 7.774], [0.000, -2.796, 7.774]], "species": ["Y", "V", "V", "Fe", "Fe", "Fe", "Fe", "Fe", "Fe", "Fe", "Fe", "Fe"], "fractional_positions": [[0.000, 0.000, 0.000], [0.145, 0.145, 0.145], [0.855, 0.855, 0.855], [0.084, 0.590, 0.590], [0.333, 0.333, 0.333], [0.410, 0.410, 0.916], [0.410, 0.916, 0.410], [0.500, 0.500, 0.500], [0.590, 0.084, 0.590], [0.590, 0.590, 0.084], [0.667, 0.667, 0.667], [0.916, 0.410, 0.410]], "spacegroup": "R-3m", "total_magnetization_mub_per_fu": 13.6, "energy_ev_per_cell": -101.30, "formation_enthalpy_0k_ev_per_atom": -0.04, "dos_ef_per_ev_cell": 13.969}

---

4.
{"formula": "YV2Fe2", "functional": "PBE", "state": "optimized geometry", "cell": [[-2.009, 2.009, 4.823], [2.009, -2.009, 4.823], [2.009, 2.009, -4.823]], "species": ["Y", "V", "V", "Fe", "Fe"], "fractional_positions": [[0.000, 0.000, 0.000], [0.250, 0.750, 0.500], [0.750, 0.250, 0.500], [0.379, 0.379, 0.000], [0.621, 0.621, 0.000]], "spacegroup": "I4/mmm", "total_magnetization_mub_per_fu": 0.0, "polymorph_energy_mev_per_atom": 0, "energy_ev_per_cell": -42.09, "formation_enthalpy_0k_ev_per_atom": -0.09, "dos_ef_per_ev_cell": 3.132}

---

5.
{"formula": "YVFe4", "functional": "PBE", "state": "optimized geometry", "cell": [[0.000, 3.509, 3.509], [3.509, 0.000, 3.509], [3.509, 3.509, 0.000]], "species": ["Y", "V", "Fe", "Fe", "Fe", "Fe"], "fractional_positions": [[0.000, 0.000, 0.000], [0.750, 0.750, 0.750], [0.376, 0.376, 0.376], [0.376, 0.376, 0.872], [0.376, 0.872, 0.376], [0.872, 0.376, 0.376]], "spacegroup": "F-43m", "total_magnetization_mub_per_fu": 5.7, "energy_ev_per_cell": -49.46, "formation_enthalpy_0k_ev_per_atom": 0.00, "dos_ef_per_ev_cell": 4.410}

---

6.
{"formula": "Y2VFe", "functional": "PBE", "state": "optimized geometry", "cell": [[0.000, 3.483, 3.483], [3.483, 0.000, 3.483], [3.483, 3.483, 0.000]], "species": ["Y", "Y", "V", "Fe"], "fractional_positions": [[0.250, 0.250, 0.250], [0.750, 0.750, 0.750], [0.000, 0.000, 0.000], [0.500, 0.500, 0.500]], "spacegroup": "Fm-3m", "total_magnetization_mub_per_fu": 4.6, "polymorph_energy_mev_per_atom": 0, "energy_ev_per_cell": -29.04, "formation_enthalpy_0k_ev_per_atom": 0.37, "dos_ef_per_ev_cell": 7.050}

---

7.
{"formula": "YV2Fe", "functional": "PBE", "state": "optimized geometry", "cell": [[1.979, 1.143, 5.370], [-1.979, 1.143, 5.370], [0.000, -2.285, 5.370]], "species": ["Y", "V", "V", "Fe"], "fractional_positions": [[0.000, 0.000, 0.000], [0.203, 0.203, 0.203], [0.797, 0.797, 0.797], [0.500, 0.500, 0.500]], "spacegroup": "R-3m", "total_magnetization_mub_per_fu": 0.2, "polymorph_energy_mev_per_atom": 0, "energy_ev_per_cell": -31.99, "formation_enthalpy_0k_ev_per_atom": 0.29, "dos_ef_per_ev_cell": 6.265}

---

8.
{"formula": "YV2Fe", "functional": "PBE", "state": "optimized geometry", "cell": [[-2.202, 2.202, 8.203], [2.202, -2.202, 8.203], [2.202, 2.202, -8.203]], "species": ["Y", "Y", "V", "V", "V", "V", "Fe", "Fe"], "fractional_positions": [[0.375, 0.625, 0.750], [0.625, 0.375, 0.250], [0.000, 0.000, 0.000], [0.000, 0.000, 0.500], [0.000, 0.500, 0.000], [0.500, 0.000, 0.500], [0.125, 0.875, 0.250], [0.875, 0.125, 0.750]], "spacegroup": "I4_1/amd", "total_magnetization_mub_per_fu": 0.2, "polymorph_energy_mev_per_atom": 453, "energy_ev_per_cell": -60.35, "formation_enthalpy_0k_ev_per_atom": 0.75, "dos_ef_per_ev_cell": 12.620}

---

9.
{"formula": "VZn2Fe2", "functional": "PBE", "state": "optimized geometry", "cell": [[5.849, 0.000, 0.000], [0.000, 5.849, 0.000], [0.000, 0.000, 3.900]], "species": ["V", "V", "Zn", "Zn", "Zn", "Zn", "Fe", "Fe", "Fe", "Fe"], "fractional_positions": [[0.000, 0.000, 0.000], [0.500, 0.500, 0.000], [0.168, 0.332, 0.500], [0.332, 0.832, 0.500], [0.668, 0.168, 0.500], [0.832, 0.668, 0.500], [0.134, 0.634, 0.000], [0.366, 0.134, 0.000], [0.634, 0.866, 0.000], [0.866, 0.366, 0.000]], "spacegroup": "P4/mbm", "total_magnetization_mub_per_fu": 1.5, "polymorph_energy_mev_per_atom": 0, "energy_ev_per_cell": -54.95, "formation_enthalpy_0k_ev_per_atom": 0.22, "dos_ef_per_ev_cell": 7.951}

---

10.
{"formula": "V5ZnFe6", "functional": "PBE", "state": "optimized geometry", "cell": [[-2.027, 2.875, 6.058], [2.027, -2.875, 6.058], [2.027, 2.875, -6.058]], "species": ["V", "V", "V", "V", "V", "Zn", "Fe", "Fe", "Fe", "Fe", "Fe", "Fe"], "fractional_positions": [[0.000, 0.000, 0.000], [0.167, 0.667, 0.500], [0.337, 0.337, 0.000], [0.663, 0.663, 0.000], [0.833, 0.333, 0.500], [0.500, 0.000, 0.500], [0.074, 0.829, 0.245], [0.240, 0.500, 0.740], [0.416, 0.171, 0.245], [0.584, 0.829, 0.755], [0.760, 0.500, 0.260], [0.926, 0.171, 0.755]], "spacegroup": "Immm", "total_magnetization_mub_per_fu": 2.2, "energy_ev_per_cell": -99.14, "formation_enthalpy_0k_ev_per_atom": -0.12, "dos_ef_per_ev_cell": 10.738}

---

11.
{"formula": "VZn2Fe2", "functional": "PBE", "state": "optimized geometry", "cell": [[7.028, 0.000, 0.000], [0.000, 7.028, 0.000], [0.000, 0.000, 2.659]], "species": ["V", "V", "Zn", "Zn", "Zn", "Zn", "Fe", "Fe", "Fe", "Fe"], "fractional_positions": [[0.000, 0.000, 0.000], [0.500, 0.500, 0.000], [0.125, 0.375, 0.000], [0.375, 0.875, 0.000], [0.625, 0.125, 0.000], [0.875, 0.625, 0.000], [0.176, 0.676, 0.500], [0.324, 0.176, 0.500], [0.676, 0.824, 0.500], [0.824, 0.324, 0.500]], "spacegroup": "P4/mbm", "total_magnetization_mub_per_fu": 3.6, "polymorph_energy_mev_per_atom": 12, "energy_ev_per_cell": -54.83, "formation_enthalpy_0k_ev_per_atom": 0.24, "dos_ef_per_ev_cell": 8.580}

---

12.
{"formula": "VZn4Fe", "functional": "PBE", "state": "optimized geometry", "cell": [[0.000, 3.475, 3.475], [3.475, 0.000, 3.475], [3.475, 3.475, 0.000]], "species": ["V", "Zn", "Zn", "Zn", "Zn", "Fe"], "fractional_positions": [[0.000, 0.000, 0.000], [0.126, 0.625, 0.625], [0.625, 0.126, 0.625], [0.625, 0.625, 0.126], [0.625, 0.625, 0.625], [0.250, 0.250, 0.250]], "spacegroup": "F-43m", "total_magnetization_mub_per_fu": 0.7, "polymorph_energy_mev_per_atom": 72, "energy_ev_per_cell": -21.91, "formation_enthalpy_0k_ev_per_atom": 0.13, "dos_ef_per_ev_cell": 3.653}

---

13.
{"formula": "V3ZnFe4", "functional": "PBE", "state": "optimized geometry", "cell": [[2.021, 1.167, 6.607], [-2.021, 1.167, 6.607], [0.000, -2.334, 6.607]], "species": ["V", "V", "V", "Zn", "Fe", "Fe", "Fe", "Fe"], "fractional_positions": [[0.000, 0.000, 0.000], [0.246, 0.246, 0.246], [0.754, 0.754, 0.754], [0.500, 0.500, 0.500], [0.120, 0.120, 0.120], [0.371, 0.371, 0.371], [0.629, 0.629, 0.629], [0.880, 0.880, 0.880]], "spacegroup": "R-3m", "total_magnetization_mub_per_fu": 0.9, "energy_ev_per_cell": -63.64, "formation_enthalpy_0k_ev_per_atom": -0.14, "dos_ef_per_ev_cell": 6.019}

---

14.
{"formula": "VZnFe6", "functional": "PBE", "state": "optimized geometry", "cell": [[2.997, -5.639, 0.000], [2.997, 5.639, 0.000], [0.000, 0.000, 11.265]], "species": ["V", "V", "V", "V", "Zn", "Zn", "Zn", "Zn", "Fe", "Fe", "Fe", "Fe", "Fe", "Fe", "Fe", "Fe", "Fe", "Fe", "Fe", "Fe", "Fe", "Fe", "Fe", "Fe", "Fe", "Fe", "Fe", "Fe", "Fe", "Fe", "Fe", "Fe"], "fractional_positions": [[0.000, 0.000, 0.248], [0.000, 0.000, 0.752], [0.250, 0.750, 0.000], [0.750, 0.250, 0.000], [0.255, 0.745, 0.500], [0.500, 0.500, 0.248], [0.500, 0.500, 0.752], [0.745, 0.255, 0.500], [0.000, 0.000, 0.000], [0.000, 0.000, 0.500], [0.118, 0.364, 0.373], [0.118, 0.364, 0.627], [0.119, 0.373, 0.123], [0.119, 0.373, 0.877], [0.254, 0.746, 0.251], [0.254, 0.746, 0.749], [0.364, 0.118, 0.373], [0.364, 0.118, 0.627], [0.373, 0.119, 0.123], [0.373, 0.119, 0.877], [0.500, 0.500, 0.000], [0.500, 0.500, 0.500], [0.627, 0.881, 0.123], [0.627, 0.881, 0.877], [0.636, 0.882, 0.373], [0.636, 0.882, 0.627], [0.746, 0.254, 0.251], [0.746, 0.254, 0.749], [0.881, 0.627, 0.123], [0.881, 0.627, 0.877], [0.882, 0.636, 0.373], [0.882, 0.636, 0.627]], "spacegroup": "Cmmm", "total_magnetization_mub_per_fu": 11.7, "energy_ev_per_cell": -245.79, "formation_enthalpy_0k_ev_per_atom": -0.03, "dos_ef_per_ev_cell": 20.268}

---

15.
{"formula": "V2Zn2Fe", "functional": "PBE", "state": "optimized geometry", "cell": [[6.418, 0.000, 0.000], [0.000, 6.418, 0.000], [0.000, 0.000, 3.354]], "species": ["V", "V", "V", "V", "Zn", "Zn", "Zn", "Zn", "Fe", "Fe"], "fractional_positions": [[0.170, 0.330, 0.000], [0.330, 0.830, 0.000], [0.670, 0.170, 0.000], [0.830, 0.670, 0.000], [0.133, 0.633, 0.500], [0.367, 0.133, 0.500], [0.633, 0.867, 0.500], [0.867, 0.367, 0.500], [0.000, 0.000, 0.500], [0.500, 0.500, 0.500]], "spacegroup": "P4/mbm", "total_magnetization_mub_per_fu": 0.8, "energy_ev_per_cell": -55.69, "formation_enthalpy_0k_ev_per_atom": 0.28, "dos_ef_per_ev_cell": 7.228}

---

16.
{"formula": "VZnFe2", "functional": "PBE", "state": "optimized geometry", "cell": [[-3.241, 3.241, 2.558], [3.241, -3.241, 2.558], [3.241, 3.241, -2.558]], "species": ["V", "V", "Zn", "Zn", "Fe", "Fe", "Fe", "Fe"], "fractional_positions": [[0.000, 0.000, 0.000], [0.750, 0.250, 0.500], [0.250, 0.750, 0.500], [0.500, 0.500, 0.000], [0.100, 0.625, 0.975], [0.375, 0.350, 0.475], [0.650, 0.125, 0.025], [0.875, 0.900, 0.525]], "spacegroup": "I-42d", "total_magnetization_mub_per_fu": 2.2, "energy_ev_per_cell": -51.02, "formation_enthalpy_0k_ev_per_atom": 0.45, "dos_ef_per_ev_cell": 7.745}

---

17.
{"formula": "VZnFe2", "functional": "PBE", "state": "optimized geometry", "cell": [[2.883, 0.000, 0.000], [0.000, 2.883, 0.000], [0.000, 0.000, 5.693]], "species": ["V", "Zn", "Fe", "Fe"], "fractional_positions": [[0.000, 0.000, 0.000], [0.000, 0.000, 0.500], [0.500, 0.500, 0.236], [0.500, 0.500, 0.764]], "spacegroup": "P4/mmm", "total_magnetization_mub_per_fu": 0.7, "energy_ev_per_cell": -27.54, "formation_enthalpy_0k_ev_per_atom": -0.06, "dos_ef_per_ev_cell": 4.113}

---

18.
{"formula": "V4ZnFe5", "functional": "PBE", "state": "optimized geometry", "cell": [[2.878, 0.000, 0.000], [0.000, 2.878, 0.000], [0.000, 0.000, 14.299]], "species": ["V", "V", "V", "V", "Zn", "Fe", "Fe", "Fe", "Fe", "Fe"], "fractional_positions": [[0.000, 0.000, 0.100], [0.000, 0.000, 0.304], [0.000, 0.000, 0.696], [0.000, 0.000, 0.900], [0.000, 0.000, 0.500], [0.500, 0.500, 0.000], [0.500, 0.500, 0.199], [0.500, 0.500, 0.390], [0.500, 0.500, 0.610], [0.500, 0.500, 0.801]], "spacegroup": "P4/mmm", "total_magnetization_mub_per_fu": 1.7, "energy_ev_per_cell": -81.37, "formation_enthalpy_0k_ev_per_atom": -0.13, "dos_ef_per_ev_cell": 7.734}

---

19.
{"formula": "V2ZnFe3", "functional": "PBE", "state": "optimized geometry", "cell": [[2.876, 0.000, 0.000], [0.000, 2.876, 0.000], [0.000, 0.000, 8.562]], "species": ["V", "V", "Zn", "Fe", "Fe", "Fe"], "fractional_positions": [[0.000, 0.000, 0.172], [0.000, 0.000, 0.828], [0.000, 0.000, 0.500], [0.500, 0.500, 0.000], [0.500, 0.500, 0.317], [0.500, 0.500, 0.683]], "spacegroup": "P4/mmm", "total_magnetization_mub_per_fu": 0.2, "energy_ev_per_cell": -45.71, "formation_enthalpy_0k_ev_per_atom": -0.14, "dos_ef_per_ev_cell": 1.569}

---

20.
{"formula": "VZnFe", "functional": "PBE", "state": "optimized geometry", "cell": [[2.499, -4.162, 0.000], [2.499, 4.162, 0.000], [0.000, 0.000, 7.431]], "species": ["V", "V", "V", "V", "Zn", "Zn", "Zn", "Zn", "Fe", "Fe", "Fe", "Fe"], "fractional_positions": [[0.128, 0.372, 0.250], [0.372, 0.128, 0.750], [0.628, 0.872, 0.250], [0.872, 0.628, 0.750], [0.133, 0.867, 0.425], [0.367, 0.633, 0.925], [0.633, 0.367, 0.075], [0.867, 0.133, 0.575], [0.111, 0.889, 0.095], [0.389, 0.611, 0.595], [0.611, 0.389, 0.405], [0.889, 0.111, 0.905]], "spacegroup": "Cmce", "total_magnetization_mub_per_fu": 1.4, "polymorph_energy_mev_per_atom": 110, "energy_ev_per_cell": -74.46, "formation_enthalpy_0k_ev_per_atom": 0.08, "dos_ef_per_ev_cell": 11.742}